Material: SmSbF
Method: DFT, PBE
State: optimized geometry

Values from the calculation:
The final energy comes out at -32.8 eV per cell. The value obtained for the formation energy (no corrections) is -1.889 eV per atom. The calculation puts the magnetic moment at 0.0 μB per formula unit.

abc: 3.386 3.386 11.501
angles: 90.00 90.00 90.00
Space group I4mm (No. 107)
Inequivalent atoms, fractional coordinates:
Sm: 0.000 0.000 0.000 (multiplicity 2)
Sb: 0.000 0.000 0.292 (multiplicity 2)
F: 0.000 0.000 0.564 (multiplicity 2)